(1)
# NaCaPb2 | Alexandria | GGA-PBEsol | relaxed
data_NaCaPb2
_chemical_formula_sum 'Na4 Ca4 Pb8'
_cell_length_a 7.636
_cell_length_b 7.636
_cell_length_c 7.636
_cell_angle_alpha 90.00
_cell_angle_beta 90.00
_cell_angle_gamma 90.00
_space_group_name_H-M_alt 'F m -3 m'
_space_group_IT_number 225
_space_group_name_Hall '-F 4 2 3'
loop_
_atom_site_label
_atom_site_fract_x
_atom_site_fract_y
_atom_site_fract_z
Na1 0.000 0.000 0.000
Ca1 0.000 0.000 0.500
Pb1 0.250 0.250 0.250
# calculated total energy	-3.224	eV/atom
# total magnetization	0.0	μB per formula unit
# ΔE_f	-0.342	eV/atom

---

(2)
# Na2HoNb5O15 | Alexandria | GGA-PBEsol | relaxed
data_Na2HoNb5O15
_chemical_formula_sum 'Na4 Ho2 Nb10 O30'
_cell_length_a 12.543
_cell_length_b 12.543
_cell_length_c 3.900
_cell_angle_alpha 90.00
_cell_angle_beta 90.00
_cell_angle_gamma 90.00
_space_group_name_H-M_alt 'P 4/m b m'
_space_group_IT_number 127
_space_group_name_Hall '-P 4 2ab'
loop_
_atom_site_label
_atom_site_fract_x
_atom_site_fract_y
_atom_site_fract_z
Na1 0.173 0.327 0.000
Ho1 0.000 0.000 0.000
Nb1 0.000 0.500 0.500
Nb2 0.079 0.789 0.500
O1 0.000 0.500 0.000
O2 0.002 0.341 0.500
O3 0.056 0.130 0.500
O4 0.083 0.818 0.000
O5 0.225 0.725 0.500
# calculated total energy	-8.674	eV/atom
# total magnetization	0.0	μB per formula unit
# E_form (uncorrected)	-2.561	eV/atom

---

(3)
# Ga2SiSe | Alexandria | GGA-PBEsol | relaxed
data_Ga2SiSe
_chemical_formula_sum 'Ga8 Si4 Se4'
_cell_length_a 6.590
_cell_length_b 6.590
_cell_length_c 6.590
_cell_angle_alpha 90.00
_cell_angle_beta 90.00
_cell_angle_gamma 90.00
_space_group_name_H-M_alt 'F m -3 m'
_space_group_IT_number 225
_space_group_name_Hall '-F 4 2 3'
loop_
_atom_site_label
_atom_site_fract_x
_atom_site_fract_y
_atom_site_fract_z
Ga1 0.250 0.250 0.250
Si1 0.000 0.000 0.000
Se1 0.000 0.000 0.500
# calculated total energy	-3.837	eV/atom
# total magnetization	0.0	μB per formula unit
# E_form (uncorrected)	0.232	eV/atom
# offset from the most stable computed form	463.4	meV/atom

---

(4)
# Tm3Pb | Alexandria | GGA-PBEsol | relaxed
data_Tm3Pb
_chemical_formula_sum 'Tm3 Pb1'
_cell_length_a 4.709
_cell_length_b 4.709
_cell_length_c 4.709
_cell_angle_alpha 90.00
_cell_angle_beta 90.00
_cell_angle_gamma 90.00
_space_group_name_H-M_alt 'P m -3 m'
_space_group_IT_number 221
_space_group_name_Hall '-P 4 2 3'
loop_
_atom_site_label
_atom_site_fract_x
_atom_site_fract_y
_atom_site_fract_z
Tm1 0.000 0.000 0.500
Pb1 0.500 0.500 0.500
# calculated total energy	-4.966	eV/atom
# total magnetization	0.0	μB per formula unit
# ΔE_f	-0.292	eV/atom

---

(5)
# HfSi3Ag | Alexandria | GGA-PBEsol | relaxed
data_HfSi3Ag
_chemical_formula_sum 'Hf1 Si3 Ag1'
_cell_length_a 4.680
_cell_length_b 4.680
_cell_length_c 4.680
_cell_angle_alpha 90.00
_cell_angle_beta 90.00
_cell_angle_gamma 90.00
_space_group_name_H-M_alt 'P m -3 m'
_space_group_IT_number 221
_space_group_name_Hall '-P 4 2 3'
loop_
_atom_site_label
_atom_site_fract_x
_atom_site_fract_y
_atom_site_fract_z
Hf1 0.000 0.000 0.000
Si1 0.000 0.500 0.500
Ag1 0.500 0.500 0.500
# calculated total energy	-5.168	eV/atom
# total magnetization	0.0	μB per formula unit
# E_form (uncorrected)	1.043	eV/atom

---

(6)
# CaI2O | Alexandria | GGA-PBEsol | relaxed
data_CaI2O
_chemical_formula_sum 'Ca4 I8 O4'
_cell_length_a 7.485
_cell_length_b 7.485
_cell_length_c 7.485
_cell_angle_alpha 90.00
_cell_angle_beta 90.00
_cell_angle_gamma 90.00
_space_group_name_H-M_alt 'F m -3 m'
_space_group_IT_number 225
_space_group_name_Hall '-F 4 2 3'
loop_
_atom_site_label
_atom_site_fract_x
_atom_site_fract_y
_atom_site_fract_z
Ca1 0.000 0.000 0.000
I1 0.250 0.250 0.250
O1 0.000 0.000 0.500
# calculated total energy	-3.182	eV/atom
# total magnetization	2.0	μB per formula unit
# E_form (uncorrected)	-0.453	eV/atom

---

(7)
# ScHgTe2 | Alexandria | GGA-PBEsol | relaxed
data_ScHgTe2
_chemical_formula_sum 'Sc2 Hg2 Te4'
_cell_length_a 4.317
_cell_length_b 5.272
_cell_length_c 9.192
_cell_angle_alpha 90.00
_cell_angle_beta 90.00
_cell_angle_gamma 90.00
_space_group_name_H-M_alt 'C m m 2'
_space_group_IT_number 35
loop_
_space_group_symop_operation_xyz
'x,y,z'
'-x,-y,z'
'-x,y,z'
'x,-y,z'
'x+1/2,y+1/2,z'
'-x+1/2,-y+1/2,z'
'-x+1/2,y+1/2,z'
'x+1/2,-y+1/2,z'
loop_
_atom_site_label
_atom_site_fract_x
_atom_site_fract_y
_atom_site_fract_z
Sc1 0.000 0.000 0.000
Hg1 0.000 0.500 0.219
Te1 0.000 0.000 0.454
Te2 0.000 0.500 0.807
# calculated total energy	-3.955	eV/atom
# total magnetization	0.0	μB per formula unit
# E_form (uncorrected)	-0.399	eV/atom

---

(8)
# Tl3PbBr5 | Alexandria | GGA-PBEsol | relaxed
data_Tl3PbBr5
_chemical_formula_sum 'Tl12 Pb4 Br20'
_cell_length_a 8.642
_cell_length_b 8.642
_cell_length_c 15.056
_cell_angle_alpha 90.00
_cell_angle_beta 90.00
_cell_angle_gamma 90.00
_space_group_name_H-M_alt 'P 41'
_space_group_IT_number 76
loop_
_space_group_symop_operation_xyz
'x,y,z'
'-y,x,z+1/4'
'-x,-y,z+1/2'
'y,-x,z+3/4'
loop_
_atom_site_label
_atom_site_fract_x
_atom_site_fract_y
_atom_site_fract_z
Tl1 0.000 0.179 0.000
Tl2 0.130 0.320 0.583
Tl3 0.181 0.363 0.268
Pb1 0.299 0.500 0.848
Br1 0.009 0.331 0.799
Br2 0.033 0.812 0.905
Br3 0.173 0.654 0.672
Br4 0.191 0.488 0.053
Br5 0.369 0.513 0.454
# calculated total energy	-3.175	eV/atom
# total magnetization	0.0	μB per formula unit
# E_form (uncorrected)	-0.815	eV/atom
# offset from the most stable computed form	7.3	meV/atom